*A*
Ac2Tl2In PBE-GGA optimized geometry; magnetic moment = 0.000 μB/f.u.; Fermi-level density of states = 7.9 states/eV per cell
1.0
6.277 -2.501 0.000
6.277 2.501 0.000
-5.267 0.000 10.733
Ac Tl In
4 4 2
direct
0.003 0.003 0.172
0.181 0.181 0.606
0.819 0.819 0.394
0.997 0.997 0.828
0.350 0.350 0.940
0.459 0.459 0.608
0.541 0.541 0.392
0.650 0.650 0.060
0.295 0.295 0.170
0.705 0.705 0.830

---

*B*
Ac2Tl2In PBE-GGA optimized geometry; magnetic moment = 0.000 μB/f.u.; Fermi-level density of states = 16.0 states/eV per cell
1.0
8.204 0.000 0.000
0.000 8.204 0.000
0.000 0.000 10.117
Ac Tl In
8 8 4
direct
0.171 0.329 0.000
0.171 0.329 0.500
0.329 0.829 0.000
0.329 0.829 0.500
0.671 0.171 0.000
0.671 0.171 0.500
0.829 0.671 0.000
0.829 0.671 0.500
0.133 0.633 0.250
0.133 0.633 0.750
0.367 0.133 0.250
0.367 0.133 0.750
0.633 0.867 0.250
0.633 0.867 0.750
0.867 0.367 0.250
0.867 0.367 0.750
0.000 0.000 0.250
0.000 0.000 0.750
0.500 0.500 0.250
0.500 0.500 0.750

---

*A* takes first place; second place is 19 meV per atom up.

---

*A*
Ac6Tl5In PBE-GGA optimized geometry; magnetic moment = 0.000 μB/f.u.; Fermi-level density of states = 12.8 states/eV per cell
1.0
2.932 -8.781 0.000
2.932 8.781 0.000
0.000 0.000 8.225
Ac Tl In
6 5 1
direct
0.000 0.000 0.248
0.000 0.000 0.752
0.334 0.666 0.249
0.334 0.666 0.751
0.666 0.334 0.249
0.666 0.334 0.751
0.167 0.833 0.000
0.167 0.833 0.500
0.500 0.500 0.500
0.833 0.167 0.000
0.833 0.167 0.500
0.500 0.500 0.000

---

*B*
Ac6Tl5In PBE-GGA optimized geometry; magnetic moment = 0.000 μB/f.u.; Fermi-level density of states = 12.9 states/eV per cell
1.0
5.250 -6.186 0.000
5.250 6.186 0.000
-1.629 0.000 7.069
Ac Tl In
6 5 1
direct
0.084 0.416 0.750
0.249 0.249 0.246
0.416 0.084 0.750
0.584 0.916 0.250
0.751 0.751 0.754
0.916 0.584 0.250
0.000 0.000 0.500
0.171 0.829 0.000
0.336 0.664 0.500
0.664 0.336 0.500
0.829 0.171 0.000
0.500 0.500 0.000

---

*A* takes first place; second place is 128 meV per atom up.

---

*A*
AcTlIn PBE-GGA optimized geometry; magnetic moment = 0.000 μB/f.u.; Fermi-level density of states = 5.7 states/eV per cell
1.0
3.912 0.000 0.000
0.000 3.912 0.000
0.000 0.000 12.553
Ac Tl In
2 2 2
direct
0.000 0.000 0.000
0.500 0.500 0.500
0.000 0.000 0.315
0.500 0.500 0.815
0.000 0.000 0.681
0.500 0.500 0.181

---

*B*
AcTlIn PBE-GGA optimized geometry; magnetic moment = 0.000 μB/f.u.; Fermi-level density of states = 4.1 states/eV per cell
1.0
4.959 0.000 0.000
-2.480 4.295 0.000
0.000 0.000 9.232
Ac Tl In
2 2 2
direct
0.000 0.000 0.000
0.000 0.000 0.500
0.333 0.667 0.250
0.667 0.333 0.750
0.333 0.667 0.750
0.667 0.333 0.250

---

*B* takes first place; second place is 82 meV per atom up.

---

*A*
AcTlIn PBE-GGA optimized geometry; magnetic moment = 0.000 μB/f.u.; Fermi-level density of states = 11.0 states/eV per cell
1.0
7.540 0.000 0.000
0.000 7.540 0.000
0.000 0.000 7.540
Ac Tl In
4 4 4
direct
0.000 0.000 0.000
0.000 0.500 0.500
0.500 0.000 0.500
0.500 0.500 0.000
0.250 0.250 0.750
0.250 0.750 0.250
0.750 0.250 0.250
0.750 0.750 0.750
0.000 0.000 0.500
0.000 0.500 0.000
0.500 0.000 0.000
0.500 0.500 0.500

---

*B*
AcTlIn PBE-GGA optimized geometry; magnetic moment = 0.000 μB/f.u.; Fermi-level density of states = 7.4 states/eV per cell
1.0
12.519 0.000 0.000
0.000 4.944 0.000
-5.057 0.000 6.162
Ac Tl In
4 4 4
direct
0.058 0.000 0.312
0.442 0.500 0.688
0.558 0.500 0.312
0.942 0.000 0.688
0.165 0.500 0.733
0.335 0.000 0.267
0.665 0.000 0.733
0.835 0.500 0.267
0.155 0.500 0.117
0.345 0.000 0.883
0.655 0.000 0.117
0.845 0.500 0.883

---

*C*
AcTlIn PBE-GGA optimized geometry; magnetic moment = 0.000 μB/f.u.; Fermi-level density of states = 1.7 states/eV per cell
1.0
5.055 0.000 0.000
-2.527 4.377 0.000
0.000 0.000 4.426
Ac Tl In
1 1 1
direct
0.000 0.000 0.000
0.333 0.667 0.400
0.667 0.333 0.576

---

*B* takes first place; second place is 16 meV per atom up.